[1]
Tb2Pm9Er: optimized geometry, PBE.

Calculated values
V = 33.59 Å³ per atom
Crystal system = tetragonal

Unit cell a=5.122 b=5.122 c=15.364 alpha=90.00 beta=90.00 gamma=90.00
Space group P4/mmm (No. 123)
One atom of each set of equivalent atoms:
Tb 0.000 0.000 0.167 x2
Pm 0.000 0.500 0.000 x2
Pm 0.000 0.500 0.334 x4
Pm 0.500 0.500 0.167 x2
Pm 0.500 0.500 0.500 x1
Er 0.000 0.000 0.500 x1


[2]
DySc5Ga3: optimized geometry, PBE.

Calculated values
V = 21.31 Å³ per atom
Crystal system = hexagonal

Unit cell a=8.4477 b=8.4477 c=6.2070 alpha=90.00 beta=90.00 gamma=120.00
Space group P6_3/mcm (No. 193)
One atom of each set of equivalent atoms:
Dy 0.0000 0.0000 0.0000 x2
Sc 0.0000 0.3378 0.2500 x6
Sc 0.3333 0.6667 0.0000 x4
Ga 0.0000 0.3356 0.7500 x6


[3]
HoZn8Ga2Cu: optimized geometry, PBE.

Calculated values
V = 17.01 Å³ per atom
Crystal system = monoclinic

Unit cell a=7.396 b=4.907 c=11.485 alpha=90.00 beta=101.61 gamma=90.00
Space group C2/m (No. 12)
One atom of each set of equivalent atoms:
Ho 0.000 0.000 0.000 x2
Zn 0.046 0.249 0.316 x8
Zn 0.173 0.500 0.540 x4
Zn 0.240 0.500 0.169 x4
Ga 0.123 0.500 0.875 x4
Cu 0.000 0.000 0.500 x2


The following E values (in eV/cell) correspond, in order, to the records above: -56.38, -98.93, -51.79.